{
  "formula": "YEr5Sb4",
  "functional": "PBE",
  "state": "relaxed",
  "total_energy_ha_per_atom": -0.1938,
  "n_ef_per_ev_cell": 5.46,
  "formation_energy_uncorrected_ev_per_atom": -0.697,
  "cell": [[-3.409, -1.793, 1.864], [4.646, -6.609, 2.139], [2.395, 6.887, 6.093]],
  "species": ["Sb", "Er", "Er", "Sb", "Y", "Er", "Sb", "Er", "Er", "Sb"],
  "fractional_positions": [[0.330, 0.914, 0.659], [0.820, 0.650, 0.641], [0.180, 0.350, 0.359], [0.991, 0.739, 0.981], [0.500, 0.000, 0.000], [0.162, 0.820, 0.324], [0.670, 0.086, 0.341], [0.838, 0.180, 0.676], [0.500, 0.500, 0.000], [0.009, 0.261, 0.019]]
}